The following is a PBE-GGA calculation of a relaxed structure of SrCa2GaRu, from Alexandria.

## Properties
* volume: 151 Å³ per cell
* DFT formation energy: -0.029 eV/atom
* E: -3.6270 eV/atom

Cell: 5.496 5.496 5.005 Å, 90.00 90.00 90.00°
Positions (direct):
1 Ru 0.000 0.000 0.000
2 Ca 0.000 0.500 0.000
3 Ca 0.500 0.000 0.000
4 Ga 0.000 0.000 0.500
5 Sr 0.500 0.500 0.500

***

The following is a PBE-GGA calculation of a relaxed structure of Rb2Na2PuSe4, from Alexandria.

## Properties
* E_form (uncorrected): -112 kJ per mole of atoms
* volume: 285 Å³ per cell
* E: -4.8049 eV/atom

Cell: 4.490 8.292 8.548 Å, 111.26 105.22 90.00°
Each line ends with the local moment (μB).
Positions (direct):
1 Rb 0.139 0.552 0.278  0.00
2 Rb 0.861 0.448 0.722  0.00
3 Na 0.679 0.976 0.357  0.00
4 Na 0.321 0.024 0.643  0.00
5 Pu 0.000 0.000 0.000  4.76
6 Se 0.188 0.181 0.376  -0.10
7 Se 0.812 0.819 0.624  -0.10
8 Se 0.501 0.775 0.002  -0.16
9 Se 0.499 0.225 0.998  -0.16

***

The following is a PBE-GGA calculation of a relaxed structure of Sr4In2F, from Alexandria.

## Properties
* E_form (uncorrected): -98 kJ per mole of atoms
* volume: 242 Å³ per cell
* E: -3.0230 eV/atom

Cell: 5.203 5.203 9.683 Å, 105.59 105.59 90.00°
Positions (direct):
1 Sr 0.817 0.817 0.634
2 Sr 0.183 0.183 0.366
3 Sr 0.000 0.500 0.000
4 Sr 0.500 0.000 0.000
5 F 0.000 0.000 0.000
6 In 0.627 0.627 0.254
7 In 0.373 0.373 0.746